No. 1
Pm4PS2: optimized geometry, GGA-PBE.

```
7
Lattice="-3.007 -2.369 -1.236 2.987 -4.151 -5.888 3.628 -5.549 1.806" Properties=species:S:1:pos:R:3 pbc="T T T"
Pm 0.094 -6.139 -1.570
Pm 3.514 -5.930 -3.747
Pm 3.863 -9.956 -3.438
Pm -0.255 -2.113 -1.879
P 0.000 0.000 0.000
S 1.989 -7.999 -2.615
S 1.619 -4.070 -2.703
```

Final energy = -6.2179 eV/atom
ΔE_f (raw) = -1.551 eV/atom
Space-group type = P-1

No. 2
NaPm3Pb4: optimized geometry, GGA-PBE.

```
16
Lattice="6.609 0.000 0.000 0.000 6.612 0.000 0.000 0.000 10.809" Properties=species:S:1:pos:R:3 pbc="T T T"
Na 6.151 3.376 0.000
Na 2.847 3.235 5.405
Pm 3.007 6.436 0.000
Pm 1.239 4.924 2.723
Pm 4.543 1.688 2.682
Pm 6.311 0.176 5.405
Pm 4.543 1.688 8.128
Pm 1.239 4.924 8.086
Pb 6.278 0.032 0.000
Pb 2.855 3.196 0.000
Pb 1.232 1.601 2.564
Pb 4.536 5.010 2.841
Pb 6.159 3.416 5.405
Pb 2.973 6.579 5.405
Pb 4.536 5.010 7.969
Pb 1.232 1.601 8.245
```

Final energy = -4.2101 eV/atom
Energy of formation = -0.410 eV per atom
Space-group type = Pmn2_1

No. 3
MgGeBi2: optimized geometry, GGA-PBE.

```
8
Lattice="-1.711 -5.992 2.460 5.933 -2.471 -1.892 4.580 -2.621 5.925" Properties=species:S:1:pos:R:3 pbc="T T T"
Mg 2.111 -4.231 0.284
Mg 6.312 -4.661 2.159
Ge 0.000 0.000 0.000
Ge 2.490 -6.422 4.335
Bi 0.789 -4.810 2.824
Bi 4.668 -2.848 0.565
Bi 4.919 -5.097 4.689
Bi 7.229 -9.412 4.909
```

Final energy = -3.4133 eV/atom
Energy of formation = 0.080 eV per atom
Space-group type = I-42d